Here is a geometry-optimized Ce2PPd2Rh4 structure from Alexandria via LeMat-Bulk. Energies are from PBE. Values from VASP.

The structure in Quantum ESPRESSO input format:
```
&SYSTEM
  ibrav = 0, nat = 9, ntyp = 4
/
ATOMIC_SPECIES
Ce 140.12 Ce.upf
P 30.97 P.upf
Pd 106.42 Pd.upf
Rh 102.91 Rh.upf
ATOMIC_POSITIONS angstrom
Ce 3.040 0.000 2.113
Ce 0.000 3.040 2.113
P 0.000 0.000 0.000
Pd 0.000 0.000 2.307
Pd 0.000 0.000 6.145
Rh 1.592 1.592 0.000
Rh 1.448 -1.448 4.226
Rh -1.448 1.448 4.226
Rh 1.448 1.448 4.226
CELL_PARAMETERS angstrom
-3.040 3.040 4.226
3.040 -3.040 4.226
3.040 3.040 -4.226
```

formation energy from the elements: -0.838 eV/atom
symmetry: I4/mmm (139)
crystal system: tetragonal
uncorrected energy: -7.18 eV/atom